Entry 1:
TbY6Ho2Tm | PBE | relaxed Values from VASP.

Quantum ESPRESSO input file:
```
&SYSTEM
  ibrav = 0, nat = 20, ntyp = 4
/
ATOMIC_SPECIES
Tb 158.93 Tb.upf
Y 88.91 Y.upf
Ho 164.93 Ho.upf
Tm 168.93 Tm.upf
CELL_PARAMETERS angstrom
4.538 -7.485 0.000
4.538 7.485 0.000
-1.350 0.000 9.480
ATOMIC_POSITIONS crystal
Tb 0.024 0.976 0.750
Tb 0.976 0.024 0.250
Y 0.015 0.569 0.684
Y 0.123 0.753 0.056
Y 0.247 0.877 0.444
Y 0.293 0.506 0.882
Y 0.431 0.985 0.816
Y 0.494 0.707 0.618
Y 0.506 0.293 0.382
Y 0.569 0.015 0.184
Y 0.707 0.494 0.118
Y 0.753 0.123 0.556
Y 0.877 0.247 0.944
Y 0.985 0.431 0.316
Ho 0.198 0.300 0.546
Ho 0.300 0.198 0.046
Ho 0.700 0.802 0.954
Ho 0.802 0.700 0.454
Tm 0.409 0.591 0.250
Tm 0.591 0.409 0.750
```

Results
Its crystal system is monoclinic. The value obtained for the calculated total energy is -55.86 eV per formula unit. The size of the total moment comes out at 0.00 μB per cell. Its density of states at the Fermi level is 1.50 states/eV per atom.

Entry 2:
TiAgBi2 | PBE | relaxed Values from VASP.

Quantum ESPRESSO input file:
```
&SYSTEM
  ibrav = 0, nat = 8, ntyp = 3
/
ATOMIC_SPECIES
Ti 47.87 Ti.upf
Ag 107.87 Ag.upf
Bi 208.98 Bi.upf
CELL_PARAMETERS angstrom
-2.374 2.374 9.621
2.374 -2.374 9.621
2.374 2.374 -9.621
ATOMIC_POSITIONS crystal
Ti 0.000 0.000 0.000
Ti 0.750 0.250 0.500
Ag 0.250 0.750 0.500
Ag 0.500 0.500 0.000
Bi 0.116 0.625 0.991
Bi 0.375 0.366 0.491
Bi 0.634 0.125 0.009
Bi 0.875 0.884 0.509
```

Results
Its crystal system is tetragonal. The value obtained for the calculated total energy is -17.19 eV per formula unit. The size of the total moment comes out at 3.31 μB per cell. Its density of states at the Fermi level is 1.00 states/eV per atom.

Entry 3:
LiSiTe2 | PBE | relaxed Values from VASP.

Quantum ESPRESSO input file:
```
&SYSTEM
  ibrav = 0, nat = 4, ntyp = 3
/
ATOMIC_SPECIES
Li 6.94 Li.upf
Si 28.09 Si.upf
Te 127.60 Te.upf
CELL_PARAMETERS angstrom
1.977 1.142 7.275
-1.977 1.142 7.275
0.000 -2.283 7.275
ATOMIC_POSITIONS crystal
Li 0.000 0.000 0.000
Si 0.833 0.833 0.833
Te 0.241 0.241 0.241
Te 0.425 0.425 0.425
```

Results
Its crystal system is trigonal. The value obtained for the calculated total energy is -14.68 eV per formula unit. The size of the total moment comes out at 0.00 μB per cell. Its density of states at the Fermi level is 0.31 states/eV per atom.

Entry 4:
K2AsBr4 | PBE | relaxed Values from VASP.

Quantum ESPRESSO input file:
```
&SYSTEM
  ibrav = 0, nat = 7, ntyp = 3
/
ATOMIC_SPECIES
K 39.10 K.upf
As 74.92 As.upf
Br 79.90 Br.upf
CELL_PARAMETERS angstrom
-2.785 2.785 8.149
2.785 -2.785 8.149
2.785 2.785 -8.149
ATOMIC_POSITIONS crystal
K 0.133 0.133 0.000
K 0.867 0.867 0.000
As 0.500 0.500 0.000
Br 0.000 0.500 0.500
Br 0.335 0.335 0.000
Br 0.500 0.000 0.500
Br 0.665 0.665 0.000
```

Results
Its crystal system is tetragonal. The value obtained for the calculated total energy is -20.84 eV per formula unit. The size of the total moment comes out at 0.01 μB per cell. Its density of states at the Fermi level is 0.35 states/eV per atom.

Entry 5:
Ni2SbBr | PBE | relaxed Values from VASP.

Quantum ESPRESSO input file:
```
&SYSTEM
  ibrav = 0, nat = 4, ntyp = 3
/
ATOMIC_SPECIES
Ni 58.69 Ni.upf
Sb 121.76 Sb.upf
Br 79.90 Br.upf
CELL_PARAMETERS angstrom
0.000 3.317 3.317
3.317 0.000 3.317
3.317 3.317 0.000
ATOMIC_POSITIONS crystal
Ni 0.000 0.000 0.000
Ni 0.250 0.250 0.250
Sb 0.500 0.500 0.500
Br 0.750 0.750 0.750
```

Results
Its crystal system is cubic. The value obtained for the calculated total energy is -14.22 eV per formula unit. The size of the total moment comes out at 0.06 μB per cell. Its density of states at the Fermi level is 1.37 states/eV per atom.

Entry 6:
TbNdAsP | PBE | relaxed Values from VASP.

Quantum ESPRESSO input file:
```
&SYSTEM
  ibrav = 0, nat = 4, ntyp = 4
/
ATOMIC_SPECIES
Tb 158.93 Tb.upf
Nd 144.24 Nd.upf
As 74.92 As.upf
P 30.97 P.upf
CELL_PARAMETERS angstrom
4.160 0.000 0.000
0.000 4.160 0.000
0.000 0.000 5.865
ATOMIC_POSITIONS crystal
Tb 0.000 0.000 0.000
Nd 0.500 0.500 0.500
As 0.000 0.000 0.500
P 0.500 0.500 0.000
```

Results
Its crystal system is tetragonal. The value obtained for the calculated total energy is -25.55 eV per formula unit. The size of the total moment comes out at 0.00 μB per cell. Its density of states at the Fermi level is 0.11 states/eV per atom.

Entry 7:
Na2Pt | PBE | relaxed Values from VASP.

Quantum ESPRESSO input file:
```
&SYSTEM
  ibrav = 0, nat = 3, ntyp = 2
/
ATOMIC_SPECIES
Na 22.99 Na.upf
Pt 195.08 Pt.upf
CELL_PARAMETERS angstrom
-1.844 1.844 4.630
1.844 -1.844 4.630
1.844 1.844 -4.630
ATOMIC_POSITIONS crystal
Na 0.153 0.153 0.000
Na 0.847 0.847 0.000
Pt 0.500 0.500 0.000
```

Results
Its crystal system is tetragonal. The value obtained for the calculated total energy is -8.66 eV per formula unit. The size of the total moment comes out at 0.00 μB per cell. Its density of states at the Fermi level is 0.39 states/eV per atom.

Entry 8:
Ca2DyNi9 | PBE | relaxed Values from VASP.

Quantum ESPRESSO input file:
```
&SYSTEM
  ibrav = 0, nat = 12, ntyp = 3
/
ATOMIC_SPECIES
Ca 40.08 Ca.upf
Dy 162.50 Dy.upf
Ni 58.69 Ni.upf
CELL_PARAMETERS angstrom
2.484 1.434 8.140
-2.484 1.434 8.140
0.000 -2.869 8.140
ATOMIC_POSITIONS crystal
Ca 0.141 0.141 0.141
Ca 0.859 0.859 0.859
Dy 0.000 0.000 0.000
Ni 0.082 0.580 0.580
Ni 0.333 0.333 0.333
Ni 0.420 0.420 0.918
Ni 0.420 0.918 0.420
Ni 0.500 0.500 0.500
Ni 0.580 0.082 0.580
Ni 0.580 0.580 0.082
Ni 0.667 0.667 0.667
Ni 0.918 0.420 0.420
```

Results
Its crystal system is trigonal. The value obtained for the calculated total energy is -63.71 eV per formula unit. The size of the total moment comes out at 2.14 μB per cell. Its density of states at the Fermi level is 1.05 states/eV per atom.

Entry 9:
CdCoSe2N | PBE | relaxed Values from VASP.

Quantum ESPRESSO input file:
```
&SYSTEM
  ibrav = 0, nat = 5, ntyp = 4
/
ATOMIC_SPECIES
Cd 112.41 Cd.upf
Co 58.93 Co.upf
Se 78.96 Se.upf
N 14.01 N.upf
CELL_PARAMETERS angstrom
5.090 0.000 0.000
0.000 5.090 0.000
0.000 0.000 3.397
ATOMIC_POSITIONS crystal
Cd 0.000 0.000 0.000
Co 0.500 0.500 0.500
Se 0.000 0.500 0.500
Se 0.500 0.000 0.500
N 0.500 0.500 0.000
```

Results
Its crystal system is tetragonal. The value obtained for the calculated total energy is -22.15 eV per formula unit. The size of the total moment comes out at 0.00 μB per cell. Its density of states at the Fermi level is 0.68 states/eV per atom.

Entry 10:
K3Tm2HfTe6 | PBE | relaxed Values from VASP.

Quantum ESPRESSO input file:
```
&SYSTEM
  ibrav = 0, nat = 12, ntyp = 4
/
ATOMIC_SPECIES
K 39.10 K.upf
Tm 168.93 Tm.upf
Hf 178.49 Hf.upf
Te 127.60 Te.upf
CELL_PARAMETERS angstrom
3.768 -6.527 0.000
3.768 6.527 0.000
-2.516 0.000 8.273
ATOMIC_POSITIONS crystal
K 0.000 0.000 0.000
K 0.329 0.671 0.000
K 0.671 0.329 0.000
Tm 0.166 0.834 0.500
Tm 0.834 0.166 0.500
Hf 0.500 0.500 0.500
Te 0.110 0.432 0.296
Te 0.248 0.248 0.706
Te 0.432 0.110 0.296
Te 0.568 0.890 0.704
Te 0.752 0.752 0.294
Te 0.890 0.568 0.704
```

Results
Its crystal system is monoclinic. The value obtained for the calculated total energy is -55.27 eV per formula unit. The size of the total moment comes out at 0.00 μB per cell. Its density of states at the Fermi level is 0.38 states/eV per atom.

Entry 11:
AcHf2O | PBE | relaxed Values from VASP.

Quantum ESPRESSO input file:
```
&SYSTEM
  ibrav = 0, nat = 4, ntyp = 3
/
ATOMIC_SPECIES
Ac 227.00 Ac.upf
Hf 178.49 Hf.upf
O 16.00 O.upf
CELL_PARAMETERS angstrom
1.708 0.986 8.921
-1.708 0.986 8.921
0.000 -1.973 8.921
ATOMIC_POSITIONS crystal
Ac 0.000 0.000 0.000
Hf 0.124 0.124 0.124
Hf 0.876 0.876 0.876
O 0.500 0.500 0.500
```

Results
Its crystal system is trigonal. The value obtained for the calculated total energy is -31.95 eV per formula unit. The size of the total moment comes out at 0.00 μB per cell. Its density of states at the Fermi level is 0.64 states/eV per atom.

Entry 12:
Er2Tl2IrO6 | PBE | relaxed Values from VASP.

Quantum ESPRESSO input file:
```
&SYSTEM
  ibrav = 0, nat = 11, ntyp = 4
/
ATOMIC_SPECIES
Er 167.26 Er.upf
Tl 204.38 Tl.upf
Ir 192.22 Ir.upf
O 16.00 O.upf
CELL_PARAMETERS angstrom
2.866 -4.986 0.000
2.866 4.986 0.000
-1.655 0.000 6.577
ATOMIC_POSITIONS crystal
Er 0.165 0.835 0.000
Er 0.835 0.165 0.000
Tl 0.338 0.662 0.500
Tl 0.662 0.338 0.500
Ir 0.500 0.500 0.000
O 0.143 0.457 0.838
O 0.244 0.244 0.170
O 0.457 0.143 0.838
O 0.543 0.857 0.162
O 0.756 0.756 0.830
O 0.857 0.543 0.162
```

Results
Its crystal system is monoclinic. The value obtained for the calculated total energy is -73.11 eV per formula unit. The size of the total moment comes out at 1.05 μB per cell. Its density of states at the Fermi level is 0.61 states/eV per atom.